A relaxed structure of CaAg2Se, computed with PBE.

abc: 6.460 6.460 4.014
angles: 96.62 96.62 35.83
Fractional coordinates of all 4 atoms:
Ca1 0.250 0.250 0.250
Ag1 0.530 0.530 0.502
Ag2 0.970 0.970 0.998
Se1 0.750 0.750 0.750

The total energy is -3.43 eV/atom. As for the raw formation energy: -2.54 eV per formula unit. The calculation puts the density of states at the Fermi level at 1.2 states/eV/cell.